(1)
A plane-wave DFT calculation with GGA-PBE was carried out for a geometry-optimized InFeC3 structure.

a = 3.851 Å, b = 3.851 Å, c = 3.851 Å
α = 90.00°, β = 90.00°, γ = 90.00°
Space group Pm-3m (No. 221)
Unique sites:
In 0.000 0.000 0.000
Fe 0.500 0.500 0.500
C 0.000 0.500 0.500

Computed properties:
The density of states at the Fermi level is 7.741 states/eV/cell. For the energy above the most stable polymorph in this dataset, the calculation gives 0.0 meV/atom. As for the density: 6.0 Mg/m³. As for the calculated formation energy: 1.88 eV per atom. Its size of the total moment is 0.000 Bohr magnetons per cell.

=====

(2)
A plane-wave DFT calculation with GGA-PBE was carried out for a geometry-optimized Ga2AgAu2 structure.

a = 5.850 Å, b = 4.805 Å, c = 13.058 Å
α = 90.00°, β = 90.00°, γ = 90.00°
Space group Pnma (No. 62)
Unique sites:
Ga 0.007 0.250 0.056
Ga 0.010 0.750 0.355
Ag 0.244 0.750 0.751
Au 0.002 0.250 0.439
Au 0.007 0.750 0.153

Computed properties:
The density of states at the Fermi level is 5.543 states/eV/cell. For the energy above the most stable polymorph in this dataset, the calculation gives 0.0 meV/atom. As for the density: 11.6 Mg/m³. As for the calculated formation energy: -0.13 eV per atom. Its size of the total moment is 0.000 Bohr magnetons per cell.

=====

(3)
A plane-wave DFT calculation with GGA-PBE was carried out for a geometry-optimized IrAu3F structure.

a = 4.469 Å, b = 4.469 Å, c = 4.469 Å
α = 90.00°, β = 90.00°, γ = 90.00°
Space group Pm-3m (No. 221)
Unique sites:
Ir 0.000 0.000 0.000
Au 0.000 0.500 0.500
F 0.500 0.500 0.500

Computed properties:
The energy relative to the elements, uncorrected is 0.9022 eV/atom. The density of states at the Fermi level is 5.380 states/eV/cell. As for the density: 14.9 Mg/m³. Its size of the total moment is 0.770 Bohr magnetons per cell.

=====

(4)
A plane-wave DFT calculation with GGA-PBE was carried out for a geometry-optimized Cu3BiC structure.

a = 4.144 Å, b = 4.144 Å, c = 4.144 Å
α = 90.00°, β = 90.00°, γ = 90.00°
Space group Pm-3m (No. 221)
Unique sites:
Cu 0.000 0.000 0.500
Bi 0.500 0.500 0.500
C 0.000 0.000 0.000

Computed properties:
The density of states at the Fermi level is 2.162 states/eV/cell. For the energy above the most stable polymorph in this dataset, the calculation gives 0.0 meV/atom. As for the density: 9.6 Mg/m³. As for the calculated formation energy: 0.63 eV per atom. Its size of the total moment is 0.000 Bohr magnetons per cell.

=====

(5)
A plane-wave DFT calculation with GGA-PBE was carried out for a geometry-optimized Pm2ZnPbO6 structure.

a = 5.609 Å, b = 5.914 Å, c = 9.866 Å
α = 90.00°, β = 123.03°, γ = 90.00°
Space group P2_1/c (No. 14)
Unique sites:
Pm 0.221 0.066 0.247
Zn 0.000 0.000 0.500
Pb 0.500 0.000 0.000
O 0.123 0.199 0.935
O 0.227 0.694 0.929
O 0.381 0.056 0.749

Computed properties:
The energy relative to the elements, uncorrected is -2.2222 eV/atom. The density of states at the Fermi level is 0.000 states/eV/cell. As for the density: 8.0 Mg/m³. Its size of the total moment is 0.000 Bohr magnetons per cell.

=====

(6)
A plane-wave DFT calculation with GGA-PBE was carried out for a geometry-optimized K2Rb2PtO4 structure.

a = 6.355 Å, b = 6.355 Å, c = 8.576 Å
α = 90.00°, β = 90.00°, γ = 90.00°
Space group I4/mmm (No. 139)
Unique sites:
K 0.000 0.000 0.156
Rb 0.000 0.500 0.250
Pt 0.000 0.000 0.500
O 0.220 0.220 0.500

Computed properties:
The energy relative to the elements, uncorrected is -0.9323 eV/atom. The density of states at the Fermi level is 14.365 states/eV/cell. As for the density: 4.9 Mg/m³. Its size of the total moment is 3.934 Bohr magnetons per cell.

=====

(7)
A plane-wave DFT calculation with GGA-PBE was carried out for a geometry-optimized ZrRe2Se structure.

a = 3.0819 Å, b = 3.0819 Å, c = 25.2989 Å
α = 90.00°, β = 90.00°, γ = 120.00°
Space group R-3m (No. 166, hexagonal axes)
Unique sites:
Zr 0.0000 0.0000 0.0000
Re 0.0000 0.0000 0.2465
Se 0.0000 0.0000 0.5000

Computed properties:
The energy relative to the elements, uncorrected is 0.4334 eV/atom. The density of states at the Fermi level is 13.496 states/eV/cell. As for the density: 13.0 Mg/m³. Its size of the total moment is 0.000 Bohr magnetons per cell.

=====

(8)
A plane-wave DFT calculation with GGA-PBE was carried out for a geometry-optimized Pr2NdTh3P6 structure.

a = 7.227 Å, b = 12.500 Å, c = 7.210 Å
α = 90.00°, β = 109.51°, γ = 90.00°
Space group C2/m (No. 12)
Unique sites:
Pr 0.000 0.167 0.000
Nd 0.000 0.500 0.000
Th 0.000 0.000 0.500
Th 0.000 0.333 0.500
P 0.247 0.500 0.743
P 0.249 0.166 0.744

Computed properties:
The density of states at the Fermi level is 10.547 states/eV/cell. As for the density: 7.1 Mg/m³. As for the calculated formation energy: -1.56 eV per atom. Its size of the total moment is 0.000 Bohr magnetons per cell.

=====

(9)
A plane-wave DFT calculation with GGA-PBE was carried out for a geometry-optimized HfTePS2 structure.

a = 4.822 Å, b = 4.822 Å, c = 5.308 Å
α = 90.00°, β = 90.00°, γ = 90.00°
Space group P4/mmm (No. 123)
Unique sites:
Hf 0.000 0.000 0.000
Te 0.500 0.500 0.500
P 0.000 0.000 0.500
S 0.000 0.500 0.000

Computed properties:
The energy relative to the elements, uncorrected is -0.0983 eV/atom. The density of states at the Fermi level is 5.125 states/eV/cell. For the energy above the most stable polymorph in this dataset, the calculation gives 0.0 meV/atom. As for the density: 5.4 Mg/m³. Its size of the total moment is 0.000 Bohr magnetons per cell.

=====

(10)
A plane-wave DFT calculation with GGA-PBE was carried out for a geometry-optimized PmPr5In4 structure.

a = 8.325 Å, b = 9.354 Å, c = 8.914 Å
α = 90.00°, β = 90.00°, γ = 90.00°
Space group Pmmn (No. 59, origin choice 2)
Unique sites:
Pm 0.250 0.250 0.160
Pr 0.000 0.054 0.770
Pr 0.250 0.750 0.580
In 0.087 0.750 0.939
In 0.250 0.093 0.487

Computed properties:
The density of states at the Fermi level is 19.574 states/eV/cell. For the energy above the most stable polymorph in this dataset, the calculation gives 233.2 meV/atom. As for the density: 6.3 Mg/m³. As for the calculated formation energy: -0.15 eV per atom. Its size of the total moment is 0.000 Bohr magnetons per cell.

=====

(11)
A plane-wave DFT calculation with GGA-PBE was carried out for a geometry-optimized ZnFePt3 structure.

a = 4.598 Å, b = 4.598 Å, c = 4.598 Å
α = 90.00°, β = 90.00°, γ = 90.00°
Space group Pm-3m (No. 221)
Unique sites:
Zn 0.000 0.000 0.000
Fe 0.500 0.500 0.500
Pt 0.000 0.500 0.500

Computed properties:
The density of states at the Fermi level is 4.108 states/eV/cell. For the energy above the most stable polymorph in this dataset, the calculation gives 1122.4 meV/atom. As for the density: 12.1 Mg/m³. As for the calculated formation energy: 0.81 eV per atom. Its size of the total moment is 3.832 Bohr magnetons per cell.

=====

(12)
A plane-wave DFT calculation with GGA-PBE was carried out for a geometry-optimized CaTa2Ga structure.

a = 4.044 Å, b = 4.044 Å, c = 20.748 Å
α = 90.00°, β = 90.00°, γ = 90.00°
Space group I-42d (No. 122)
Unique sites:
Ca 0.000 0.000 0.000
Ta 0.234 0.250 0.625
Ga 0.000 0.000 0.500

Computed properties:
The density of states at the Fermi level is 20.538 states/eV/cell. As for the density: 9.2 Mg/m³. As for the calculated formation energy: 0.67 eV per atom. Its size of the total moment is 0.000 Bohr magnetons per cell.

=====

(13)
A plane-wave DFT calculation with GGA-PBE was carried out for a geometry-optimized CaEr5Zn4 structure.

a = 3.572 Å, b = 3.572 Å, c = 19.477 Å
α = 90.00°, β = 90.00°, γ = 90.00°
Space group P4/mmm (No. 123)
Unique sites:
Ca 0.000 0.000 0.000
Er 0.500 0.500 0.145
Er 0.500 0.500 0.321
Er 0.500 0.500 0.500
Zn 0.000 0.000 0.230
Zn 0.000 0.000 0.411

Computed properties:
The density of states at the Fermi level is 12.924 states/eV/cell. As for the density: 7.6 Mg/m³. As for the calculated formation energy: -0.25 eV per atom. Its size of the total moment is 0.032 Bohr magnetons per cell.

=====

(14)
A plane-wave DFT calculation with GGA-PBE was carried out for a geometry-optimized ScTlZn structure.

a = 3.507 Å, b = 4.452 Å, c = 8.248 Å
α = 90.00°, β = 95.02°, γ = 90.00°
Space group P2_1/m (No. 11)
Unique sites:
Sc 0.039 0.250 0.203
Tl 0.325 0.250 0.593
Zn 0.494 0.250 0.925

Computed properties:
The density of states at the Fermi level is 4.765 states/eV/cell. As for the density: 8.1 Mg/m³. As for the calculated formation energy: -0.19 eV per atom. Its size of the total moment is 0.000 Bohr magnetons per cell.

=====

(15)
A plane-wave DFT calculation with GGA-PBE was carried out for a geometry-optimized Ba6Cd2N structure.

a = 15.440 Å, b = 4.603 Å, c = 13.133 Å
α = 90.00°, β = 108.14°, γ = 90.00°
Space group C2/m (No. 12)
Unique sites:
Ba 0.026 0.000 0.312
Ba 0.150 0.500 0.059
Ba 0.171 0.000 0.597
Cd 0.173 0.500 0.806
N 0.000 0.000 0.500

Computed properties:
The energy relative to the elements, uncorrected is -0.1042 eV/atom. The density of states at the Fermi level is 19.320 states/eV/cell. For the energy above the most stable polymorph in this dataset, the calculation gives 158.6 meV/atom. As for the density: 4.0 Mg/m³. Its size of the total moment is 0.001 Bohr magnetons per cell.

=====

(16)
A plane-wave DFT calculation with GGA-PBE was carried out for a geometry-optimized CdInGa2Hg structure.

a = 6.183 Å, b = 13.523 Å, c = 5.692 Å
α = 90.00°, β = 90.00°, γ = 90.00°
Space group Cmcm (No. 63)
Unique sites:
Cd 0.000 0.137 0.250
In 0.000 0.244 0.750
Ga 0.238 0.500 0.000
Hg 0.000 0.348 0.250

Computed properties:
The density of states at the Fermi level is 7.415 states/eV/cell. As for the density: 7.9 Mg/m³. As for the calculated formation energy: 0.09 eV per atom. Its size of the total moment is 0.000 Bohr magnetons per cell.

=====

(17)
A plane-wave DFT calculation with GGA-PBE was carried out for a geometry-optimized Sr2PrCuO5 structure.

a = 6.630 Å, b = 6.630 Å, c = 11.688 Å
α = 90.00°, β = 90.00°, γ = 90.00°
Space group I4/mcm (No. 140)
Unique sites:
Sr 0.166 0.334 0.000
Pr 0.000 0.000 0.250
Cu 0.000 0.500 0.250
O 0.000 0.000 0.000
O 0.155 0.345 0.352

Computed properties:
The energy relative to the elements, uncorrected is -2.1032 eV/atom. The density of states at the Fermi level is 13.401 states/eV/cell. As for the density: 5.9 Mg/m³. Its size of the total moment is 8.127 Bohr magnetons per cell.

=====

(18)
A plane-wave DFT calculation with GGA-PBE was carried out for a geometry-optimized ThGaH structure.

a = 3.8891 Å, b = 3.8891 Å, c = 4.5963 Å
α = 90.00°, β = 90.00°, γ = 120.00°
Space group P3m1 (No. 156)
Unique sites:
Th 0.0000 0.0000 0.0000
Ga 0.6667 0.3333 0.5000
H 0.3333 0.6667 0.0019

Computed properties:
The density of states at the Fermi level is 1.203 states/eV/cell. For the energy above the most stable polymorph in this dataset, the calculation gives 289.7 meV/atom. As for the density: 8.4 Mg/m³. Its size of the total moment is 0.000 Bohr magnetons per cell.

=====

(19)
A plane-wave DFT calculation with GGA-PBE was carried out for a geometry-optimized Li4NpCu3O12 structure.

a = 7.295 Å, b = 7.295 Å, c = 7.295 Å
α = 90.00°, β = 90.00°, γ = 90.00°
Space group Im-3 (No. 204)
Unique sites:
Li 0.250 0.250 0.250
Np 0.000 0.000 0.000
Cu 0.000 0.000 0.500
O 0.000 0.148 0.296

Computed properties:
The energy relative to the elements, uncorrected is -0.9827 eV/atom. The density of states at the Fermi level is 17.560 states/eV/cell. As for the density: 5.5 Mg/m³. Its size of the total moment is 8.172 Bohr magnetons per cell.

=====

(20)
A plane-wave DFT calculation with GGA-PBE was carried out for a geometry-optimized BeHgRh2 structure.

a = 2.896 Å, b = 3.633 Å, c = 5.704 Å
α = 90.00°, β = 102.13°, γ = 90.00°
Space group P2/m (No. 10)
Unique sites:
Be 0.000 0.000 0.000
Hg 0.000 0.000 0.500
Rh 0.357 0.500 0.202

Computed properties:
The density of states at the Fermi level is 2.259 states/eV/cell. For the energy above the most stable polymorph in this dataset, the calculation gives 101.6 meV/atom. As for the density: 11.8 Mg/m³. As for the calculated formation energy: -0.05 eV per atom. Its size of the total moment is 0.000 Bohr magnetons per cell.